# Ta2ZnP

A relaxed Ta2ZnP crystal (GGA-PBE, Alexandria via LeMat-Bulk).

Density of states at the Fermi level (states/eV/cell): 3.3
Energy relative to the elements (eV/f.u.): -0.48
Total DFT energy (no corrections) (eV per atom): -7.717
Space group: P4mm

Cell lengths 3.460, 3.460, 5.385 Å; angles 90.00, 90.00, 90.00 degrees
Sites, in units of the cell vectors:
Ta  0.000  0.000  0.984
P  0.500  0.500  0.766
Zn  0.000  0.000  0.485
Ta  0.500  0.500  0.265